Ac3Pr2YTe6 | PBE | relaxed

abc: 4.574 9.280 10.300
angles: 103.22 102.83 90.00
Positions (direct):
Te 0.341 0.913 0.683
Te 0.331 0.424 0.663
Te 0.001 0.233 0.003
Te 0.999 0.767 0.997
Te 0.669 0.576 0.337
Te 0.659 0.087 0.317
Pr 0.168 0.335 0.336
Pr 0.832 0.665 0.664
Y 0.500 0.000 0.000
Ac 0.170 0.834 0.341
Ac 0.500 0.500 0.000
Ac 0.830 0.166 0.659

Its total energy is -5.374 eV per atom. The value obtained for the total moment is 0.000 μB/f.u. The value obtained for the uncorrected formation energy is -1.441 eV/atom.